VASP calculation (PBE with a Hubbard U) on a relaxed Ba5Co4PtClO13 crystal.

space-group type	P6_3/mmc
uncorrected energy	-5.9672	eV/atom

a = 5.8329 Å, b = 5.8329 Å, c = 25.1692 Å
α = 90.00°, β = 90.00°, γ = 120.00°
Sites, in units of the cell vectors:
Ba 0.3333 0.6667 0.6286
Ba 0.6667 0.3333 0.3714
Ba 0.6667 0.3333 0.1286
Ba 0.3333 0.6667 0.8714
Ba 0.3333 0.6667 0.0386
Ba 0.6667 0.3333 0.9614
Ba 0.6667 0.3333 0.5386
Ba 0.3333 0.6667 0.4614
Ba 0.0000 0.0000 0.7500
Ba 0.0000 0.0000 0.2500
Co 0.3333 0.6667 0.1779
Co 0.6667 0.3333 0.8221
Co 0.6667 0.3333 0.6779
Co 0.3333 0.6667 0.3221
Co 0.0000 0.0000 0.3910
Co 0.0000 0.0000 0.6090
Co 0.0000 0.0000 0.8910
Co 0.0000 0.0000 0.1090
Pt 0.0000 0.0000 0.0000
Pt 0.0000 0.0000 0.5000
Cl 0.3333 0.6667 0.7500
Cl 0.6667 0.3333 0.2500
O 0.6944 0.8472 0.5527
O 0.1528 0.8472 0.5527
O 0.1528 0.3056 0.5527
O 0.3056 0.1528 0.4473
O 0.8472 0.1528 0.4473
O 0.8472 0.6944 0.4473
O 0.3056 0.1528 0.0527
O 0.8472 0.1528 0.0527
O 0.8472 0.6944 0.0527
O 0.6944 0.8472 0.9473
O 0.1528 0.8472 0.9473
O 0.1528 0.3056 0.9473
O 0.3281 0.1641 0.6521
O 0.8359 0.1641 0.6521
O 0.8359 0.6719 0.6521
O 0.6719 0.8359 0.3479
O 0.1641 0.8359 0.3479
O 0.1641 0.3281 0.3479
O 0.6719 0.8359 0.1521
O 0.1641 0.8359 0.1521
O 0.1641 0.3281 0.1521
O 0.3281 0.1641 0.8479
O 0.8359 0.1641 0.8479
O 0.8359 0.6719 0.8479
O 0.3333 0.6667 0.2500
O 0.6667 0.3333 0.7500